Pm2AsI2: relaxed, GGA-PBE.

Cell lengths 4.2879, 4.2879, 34.5317 Å; angles 90.00, 90.00, 120.00 degrees
With the nearest neighbours (Å) after each atom.
Space group R-3m (No. 166, hexagonal axes)
Symmetry-distinct sites (fractional):
Pm  0.0000  0.0000  0.1203 [6 per cell]  3 As 2.95, 3 I 3.22
As  0.0000  0.0000  0.5000 [3 per cell]  6 Pm 2.95
I  0.0000  0.0000  0.2728 [6 per cell]  3 Pm 3.22

**Energy relative to the elements, uncorrected**: -1.508 eV/atom

PmAsI: relaxed, GGA-PBE.

Cell lengths 5.2382, 5.2382, 3.6694 Å; angles 90.00, 90.00, 120.00 degrees
With the nearest neighbours (Å) after each atom.
Space group P-6m2 (No. 187)
Symmetry-distinct sites (fractional):
Pm  0.0000  0.0000  0.0000 [1 per cell]  3 I 3.02
As  0.6667  0.3333  0.5000 [1 per cell]  6 Pm 3.54, 6 I 3.54, 2 As 3.67
I  0.3333  0.6667  0.0000 [1 per cell]  3 Pm 3.02

**Energy relative to the elements, uncorrected**: -0.513 eV/atom
**Energy relative to the lowest polymorph listed for this composition**: 1.00 eV per formula unit

Pm8AsPt3I4: relaxed, GGA-PBE.

Cell lengths 8.5964, 8.5964, 23.6526 Å; angles 90.00, 90.00, 120.00 degrees
With the nearest neighbours (Å) after each atom.
Space group R-3m (No. 166, hexagonal axes)
Symmetry-distinct sites (fractional):
Pm  0.0000  0.0000  0.2280 [6 per cell]  3 Pt 2.87
Pm  0.0096  0.5048  0.7700 [18 per cell]  2 Pt 2.87, 1 As 2.96
As  0.0000  0.0000  0.5000 [3 per cell]  6 Pm 2.96
Pt  0.0000  0.5000  0.5000 [9 per cell]  6 Pm 2.87
I  0.0000  0.0000  0.0000 [3 per cell]  6 Pm 3.43
I  0.0000  0.5000  0.0000 [9 per cell]  6 Pm 3.51-3.52

**Energy relative to the elements, uncorrected**: -1.127 eV/atom

Pm6AsPt2I3: relaxed, GGA-PBE.

Cell lengths 7.4955, 12.9493, 8.1853 Å; angles 90.00, 107.74, 90.00 degrees
With the nearest neighbours (Å) after each atom.
Space group C2/m (No. 12)
Symmetry-distinct sites (fractional):
Pm  0.2165  0.0000  0.1892 [4 per cell]  2 Pt 2.86, 1 As 2.99
Pm  0.2372  0.3268  0.1895 [8 per cell]  2 Pt 2.86, 1 As 2.99
As  0.0000  0.5000  0.0000 [2 per cell]  6 Pm 2.99
Pt  0.0000  0.1670  0.0000 [4 per cell]  6 Pm 2.86
I  0.0000  0.0000  0.5000 [2 per cell]  6 Pm 3.41-3.51
I  0.0000  0.3380  0.5000 [4 per cell]  6 Pm 3.44-3.52

**Energy relative to the elements, uncorrected**: -1.142 eV/atom

Pm8AsRh3I4: relaxed, GGA-PBE.

Cell lengths 8.4663, 8.4663, 23.8967 Å; angles 90.00, 90.00, 120.00 degrees
With the nearest neighbours (Å) after each atom.
Space group R-3m (No. 166, hexagonal axes)
Symmetry-distinct sites (fractional):
Pm  0.0000  0.0000  0.2290 [6 per cell]  3 Rh 2.86
Pm  0.0149  0.5074  0.7714 [18 per cell]  2 Rh 2.81, 1 As 2.95
As  0.0000  0.0000  0.5000 [3 per cell]  6 Pm 2.95
Rh  0.0000  0.5000  0.5000 [9 per cell]  6 Pm 2.81-2.86
I  0.0000  0.0000  0.0000 [3 per cell]  6 Pm 3.42
I  0.0000  0.5000  0.0000 [9 per cell]  6 Pm 3.49-3.54

**Energy relative to the elements, uncorrected**: -0.983 eV/atom

Pm6As3S2I: relaxed, GGA-PBE.

Cell lengths 18.3480, 4.2056, 8.4785 Å; angles 90.00, 102.81, 90.00 degrees
With the nearest neighbours (Å) after each atom.
Space group C2/m (No. 12)
Symmetry-distinct sites (fractional):
Pm  0.0047  0.0000  0.2813 [4 per cell]  3 As 2.82-2.97, 1 S 2.94
Pm  0.1678  0.5000  0.5843 [4 per cell]  3 S 2.93-2.99, 3 As 3.00-3.01
Pm  0.1797  0.5000  0.0942 [4 per cell]  3 As 2.86-3.01, 2 S 2.97
As  0.0000  0.5000  0.5000 [2 per cell]  6 Pm 2.82-3.00
As  0.1603  0.0000  0.8345 [4 per cell]  6 Pm 2.86-3.01
S  0.1684  0.0000  0.3345 [4 per cell]  6 Pm 2.93-2.99
I  0.0000  0.5000  0.0000 [2 per cell]  6 Pm 3.17-3.22

**Energy relative to the elements, uncorrected**: -1.596 eV/atom

Pm4AsSI2: relaxed, GGA-PBE.

Cell lengths 7.2733, 4.2442, 7.9944 Å; angles 90.00, 108.13, 90.00 degrees
With the nearest neighbours (Å) after each atom.
Space group P2/m (No. 10)
Symmetry-distinct sites (fractional):
Pm  0.2158  0.0000  0.1857 [2 per cell]  2 S 2.78, 1 As 2.90
Pm  0.2566  0.5000  0.8107 [2 per cell]  1 S 2.74, 2 As 2.87
As  0.5000  0.0000  0.0000 [1 per cell]  6 Pm 2.87-2.90
S  0.0000  0.5000  0.0000 [1 per cell]  6 Pm 2.74-2.78
I  0.0000  0.0000  0.5000 [1 per cell]  6 Pm 3.35-3.36
I  0.5000  0.5000  0.5000 [1 per cell]  6 Pm 3.44-3.47

**Energy relative to the elements, uncorrected**: -1.374 eV/atom

Pm6Sb3As2I: relaxed, GGA-PBE.

Cell lengths 19.1867, 4.4006, 8.8688 Å; angles 90.00, 102.64, 90.00 degrees
With the nearest neighbours (Å) after each atom.
Space group C2/m (No. 12)
Symmetry-distinct sites (fractional):
Pm  0.0095  0.0000  0.2719 [4 per cell]  1 As 2.98, 3 Sb 3.02-3.18, 2 I 3.24
Pm  0.1710  0.5000  0.5750 [4 per cell]  3 As 3.01-3.06, 3 Sb 3.20-3.23
Pm  0.1764  0.5000  0.1046 [4 per cell]  2 As 3.03, 3 Sb 3.07-3.21, 1 I 3.31
Sb  0.0000  0.5000  0.5000 [2 per cell]  6 Pm 3.02-3.20
Sb  0.1597  0.0000  0.8351 [4 per cell]  6 Pm 3.07-3.23
As  0.1687  0.0000  0.3346 [4 per cell]  6 Pm 2.98-3.06
I  0.0000  0.5000  0.0000 [2 per cell]  6 Pm 3.24-3.31

**Energy relative to the elements, uncorrected**: -1.264 eV/atom

> Which value of energy relative to the elements, uncorrected does entry 3 give?

-1.127 eV/atom